## LiCrPO4 (PBE with a Hubbard U)

Data for an optimized crystal structure of LiCrPO4.

Computed properties:
Total moment, μB/f.u.: 4.000
Energy above the lowest structure with this stoichiometry, eV/atom: 0.112
DOS at the Fermi energy, states/eV/f.u.: 0.0
E_tot, eV per atom: -7.020

Cell: 5.512 5.858 8.744 Å, 90.00 90.00 90.00°
Space group Imma (No. 74)
Asymmetric unit:
Li1 0.250 0.250 0.250 (multiplicity 4)
Cr1 0.000 0.000 0.000 (multiplicity 4)
P1 0.000 0.250 0.626 (multiplicity 4)
O1 0.000 0.028 0.720 (multiplicity 8)
O2 0.233 0.250 0.516 (multiplicity 8)